Entry from the Alexandria database: a relaxed structure of Er2Tm8Pb (GGA-PBE).

Lattice parameters (Å, degrees): 19.159 5.474 6.334 90.00 95.14 90.00
Space group C2/m (No. 12)
Inequivalent atoms, fractional coordinates:
Er 0.244 0.000 0.336
Tm 0.046 0.000 0.273
Tm 0.079 0.500 0.596
Tm 0.154 0.000 0.801
Tm 0.163 0.500 0.124
Pb 0.000 0.500 0.000

Values from the calculation:
Density of states at the Fermi level: 15.61 states/eV/f.u.
DFT formation energy: -0.05 eV per atom